Computed, not measured: a relaxed structure of FeSi2NO at the PBE+U level of DFT.

Lattice parameters (Å, degrees): 4.392 3.346 4.392 90.00 90.00 90.00
Element x y z (fractional)
O (0.000, 0.500, 0.000)
Si (0.000, 0.000, 0.500)
N (0.500, 0.500, 0.500)
Fe (0.000, 0.000, 0.000)
Si (0.500, 0.000, 0.000)

## Properties
D(E_F) = 2.03 states/eV/cell
Total moment = 0.0 μB per formula unit
VASP energy = -4.648 eV/atom